Computed, not measured: a relaxed structure of Al2MoPb at the PBE-GGA level of DFT.

Computed properties:
Space group: R-3m (166)
E: -5.252 eV/atom
E_form: 0.25 eV per atom
Volume: 20.01 Å³ per atom

Cell: 10.108 10.108 10.108 Å, 17.34 17.34 17.34°
Sites, in units of the cell vectors:
Al (0.986, 0.986, 0.986)
Al (0.514, 0.514, 0.514)
Mo (0.250, 0.250, 0.250)
Pb (0.750, 0.750, 0.750)



Computed, not measured: a relaxed structure of Al2MoPb at the PBE-GGA level of DFT.

Computed properties:
Space group: Cmmm (65)
E: -5.101 eV/atom
E_form: 0.40 eV per atom
Volume: 18.47 Å³ per atom

Cell: 5.135 5.135 3.012 Å, 90.00 90.00 111.52°
Sites, in units of the cell vectors:
Al (0.000, 0.000, 0.000)
Al (0.500, 0.500, 0.000)
Pb (0.000, 0.500, 0.500)
Mo (0.500, 0.000, 0.500)



Which of these has the highest volume?
number 1



Look up the volume of the second one.
18.47 Å³ per atom



Which value of E_form does entry 2 give?
0.40 eV per atom